Record 1
{"formula": "BiPb2Cl", "functional": "GGA-PBE", "state": "optimized geometry", "e_form_raw_ev_per_atom": -0.325, "de_polymorph_ev_per_atom": 0.026, "vol_a3_per_atom": 29.4, "space_group": "Fm-3m", "crystal_system": "cubic", "density_g_cm3": 9.3, "e_tot_ev_per_fu": -14.44, "lattice_angstrom": [[-3.032, 2.124, -4.067], [1.871, -0.109, -5.170], [-2.345, -3.320, -3.703]], "species": ["Cl", "Pb", "Pb", "Bi"], "frac_coords": [[0.500, 0.500, 0.500], [0.750, 0.750, 0.750], [0.250, 0.250, 0.250], [0.000, 0.000, 0.000]]}



Record 2
{"formula": "CoPdRu2N", "functional": "GGA-PBE", "state": "optimized geometry", "e_form_raw_ev_per_atom": 0.229, "de_polymorph_ev_per_atom": 0.000, "vol_a3_per_atom": 12.4, "space_group": "P4/mmm", "crystal_system": "tetragonal", "density_g_cm3": 10.2, "e_tot_ev_per_fu": -38.03, "lattice_angstrom": [[-0.780, 0.907, -3.830], [-2.026, -3.441, -0.402], [-3.244, 1.784, 1.083]], "species": ["Ru", "Ru", "Co", "Pd", "N"], "frac_coords": [[0.500, 0.000, 0.000], [0.000, 0.500, 0.000], [0.000, 0.000, 0.500], [0.500, 0.500, 0.500], [0.000, 0.000, 0.000]]}



Record 3
{"formula": "Mo2C", "functional": "GGA-PBE", "state": "optimized geometry", "vol_a3_per_atom": 13.3, "space_group": "P6_3/mmc", "crystal_system": "hexagonal", "e_form_mev_per_atom": 276, "density_g_cm3": 8.5, "e_tot_ev_per_fu": -30.06, "lattice_angstrom": [[1.522, -2.637, 0.000], [1.522, 2.637, 0.000], [0.000, 0.000, 9.967]], "species": ["Mo", "Mo", "Mo", "Mo", "C", "C"], "frac_coords": [[0.667, 0.333, 0.622], [0.333, 0.667, 0.122], [0.333, 0.667, 0.378], [0.667, 0.333, 0.878], [0.000, 0.000, 0.500], [0.000, 0.000, 0.000]]}



Record 4
{"formula": "PaAlIn2Te5", "functional": "GGA-PBE", "state": "optimized geometry", "e_form_raw_ev_per_atom": -0.474, "vol_a3_per_atom": 34.7, "space_group": "Cmc2_1", "crystal_system": "orthorhombic", "density_g_cm3": 6.0, "e_tot_ev_per_fu": -38.69, "lattice_angstrom": [[4.321, 0.000, 0.000], [-2.161, 9.796, 0.000], [0.000, 0.000, 14.734]], "species": ["Pa", "Pa", "Te", "Te", "Te", "Te", "Te", "Te", "Te", "Te", "Te", "Te", "Al", "Al", "In", "In", "In", "In"], "frac_coords": [[0.799, 0.597, 0.531], [0.201, 0.403, 0.031], [0.298, 0.597, 0.673], [0.500, 0.999, 0.267], [0.650, 0.300, 0.515], [0.701, 0.403, 0.881], [0.958, 0.916, 0.525], [0.042, 0.084, 0.025], [0.299, 0.597, 0.381], [0.702, 0.403, 0.173], [0.500, 0.001, 0.767], [0.350, 0.700, 0.015], [0.433, 0.866, 0.417], [0.567, 0.134, 0.917], [0.124, 0.248, 0.675], [0.876, 0.752, 0.175], [0.892, 0.783, 0.840], [0.108, 0.217, 0.340]]}



Record 5
{"formula": "Te5Se4S2", "functional": "GGA-PBE", "state": "optimized geometry", "e_form_raw_ev_per_atom": 0.122, "vol_a3_per_atom": 31.8, "space_group": "P-1", "crystal_system": "triclinic", "density_g_cm3": 4.8, "e_tot_ev_per_fu": -36.56, "lattice_angstrom": [[-2.964, 0.807, 3.619], [-2.800, -5.772, 2.173], [1.376, -7.266, 15.066]], "species": ["Se", "Se", "Se", "Se", "Te", "Te", "Te", "Te", "Te", "S", "S"], "frac_coords": [[0.332, 0.121, 0.604], [0.981, 0.686, 0.919], [0.668, 0.879, 0.396], [0.019, 0.314, 0.081], [0.751, 0.914, 0.718], [0.500, 0.000, 0.000], [0.971, 0.472, 0.342], [0.029, 0.528, 0.658], [0.249, 0.086, 0.282], [0.504, 0.309, 0.797], [0.496, 0.691, 0.203]]}



Record 6
{"formula": "YTi2NbNi", "functional": "GGA-PBE", "state": "optimized geometry", "vol_a3_per_atom": 20.5, "space_group": "P4/mmm", "crystal_system": "tetragonal", "e_form_mev_per_atom": 1482, "density_g_cm3": 5.5, "e_tot_ev_per_fu": -30.70, "lattice_angstrom": [[-1.777, 2.180, -3.868], [3.500, -1.409, -2.402], [-2.389, -3.981, -1.147]], "species": ["Ni", "Ti", "Ti", "Y", "Nb"], "frac_coords": [[0.000, 0.500, 0.000], [0.500, 0.000, 0.000], [0.000, 0.000, 0.500], [0.000, 0.000, 0.000], [0.500, 0.500, 0.500]]}



Record 7
{"formula": "BeSn3F", "functional": "GGA-PBE", "state": "optimized geometry", "e_form_raw_ev_per_atom": -0.045, "de_polymorph_ev_per_atom": 0.000, "vol_a3_per_atom": 23.3, "space_group": "Pm-3m", "crystal_system": "cubic", "density_g_cm3": 5.5, "e_tot_ev_per_fu": -17.83, "lattice_angstrom": [[4.881, 0.000, 0.000], [0.000, 4.881, 0.000], [0.000, 0.000, 4.881]], "species": ["Be", "Sn", "Sn", "Sn", "F"], "frac_coords": [[0.000, 0.000, 0.000], [0.000, 0.000, 0.500], [0.500, 0.000, 0.000], [0.000, 0.500, 0.000], [0.500, 0.500, 0.500]]}



Record 8
{"formula": "PrNi4C", "functional": "GGA-PBE", "state": "optimized geometry", "vol_a3_per_atom": 13.0, "space_group": "Pmma", "crystal_system": "orthorhombic", "e_form_mev_per_atom": 48, "density_g_cm3": 8.3, "e_tot_ev_per_fu": -36.84, "lattice_angstrom": [[-3.522, 0.401, -0.167], [-0.545, -1.981, 6.734], [0.590, 5.931, 1.793]], "species": ["Ni", "Ni", "Ni", "Ni", "Ni", "Ni", "Ni", "Ni", "Pr", "Pr", "C", "C"], "frac_coords": [[0.500, 0.562, 0.285], [0.500, 0.938, 0.285], [0.000, 0.500, 0.000], [0.500, 0.438, 0.715], [0.500, 0.750, 0.963], [0.000, 0.000, 0.000], [0.500, 0.250, 0.037], [0.500, 0.062, 0.715], [0.000, 0.250, 0.417], [0.000, 0.750, 0.583], [0.000, 0.250, 0.885], [0.000, 0.750, 0.115]]}